Computed, not measured: crystalline RbLaV2 at its relaxed geometry at the PBE level of DFT.

Structure (POSCAR):
```
RbLaV2
1.0
0.0000 3.9851 3.9851
3.9851 0.0000 3.9851
3.9851 3.9851 0.0000
La Rb V
1 1 2
Direct
0.5000 0.5000 0.5000
0.0000 0.0000 0.0000
0.2500 0.2500 0.2500
0.7500 0.7500 0.7500
```

Results
For the total energy, the calculation gives -0.3431 Ry per atom. The space group is Fm-3m, No. 225. The magnetization comes out at 9.2 μB per cell.